# 1
# BeOsSe2, relaxed, DFT PBE
# Total magnetization   0.0 μB per cell
# Fermi-level density of states   0.535 states/eV/atom
# Raw formation energy   84.6 meV/atom
# Crystal system   monoclinic
data_BeOsSe2
_chemical_formula_sum 'Be2 Os2 Se4'
_space_group_name_H-M_alt 'C 1 m 1'
_space_group_IT_number 8
_cell_length_a 7.654
_cell_length_b 3.436
_cell_length_c 6.122
_cell_angle_alpha 90.00
_cell_angle_beta 98.22
_cell_angle_gamma 90.00
loop_
_space_group_symop_operation_xyz
'x,y,z'
'x,-y,z'
'x+1/2,y+1/2,z'
'x+1/2,-y+1/2,z'
loop_
_atom_site_label
_atom_site_fract_x
_atom_site_fract_y
_atom_site_fract_z
_atom_site_occupancy
Be1 0.000 0.000 0.000 1
Os1 0.290 0.000 0.968 1
Se1 0.060 0.500 0.738 1
Se2 0.303 0.500 0.248 1

# 2
# BeOsSe2, relaxed, DFT PBE
# Total magnetization   0.0 μB per cell
# Fermi-level density of states   0.414 states/eV/atom
# Raw formation energy   812.0 meV/atom
# Crystal system   tetragonal
data_BeOsSe2
_chemical_formula_sum 'Be2 Os2 Se4'
_space_group_name_H-M_alt 'I -4 m 2'
_space_group_IT_number 119
_space_group_name_Hall 'I -4 -2'
_cell_length_a 3.947
_cell_length_b 3.947
_cell_length_c 7.771
_cell_angle_alpha 90.00
_cell_angle_beta 90.00
_cell_angle_gamma 90.00
loop_
_atom_site_label
_atom_site_fract_x
_atom_site_fract_y
_atom_site_fract_z
_atom_site_occupancy
Be1 0.000 0.000 0.000 1
Os1 0.000 0.500 0.750 1
Se1 0.000 0.000 0.500 1
Se2 0.000 0.500 0.250 1

# 3
# Be2OsSe, relaxed, DFT PBE
# Total magnetization   8.0 μB per cell
# Fermi-level density of states   0.469 states/eV/atom
# Raw formation energy   734.2 meV/atom
# Crystal system   tetragonal
data_Be2OsSe
_chemical_formula_sum 'Be8 Os4 Se4'
_space_group_name_H-M_alt 'I -4 2 d'
_space_group_IT_number 122
_space_group_name_Hall 'I -4 2bw'
_cell_length_a 5.555
_cell_length_b 5.555
_cell_length_c 8.476
_cell_angle_alpha 90.00
_cell_angle_beta 90.00
_cell_angle_gamma 90.00
loop_
_atom_site_label
_atom_site_fract_x
_atom_site_fract_y
_atom_site_fract_z
_atom_site_occupancy
Be1 0.238 0.250 0.125 1
Os1 0.000 0.000 0.500 1
Se1 0.000 0.000 0.000 1

# 4
# BeOsSe4, relaxed, DFT PBE
# Total magnetization   7.7 μB per cell
# Fermi-level density of states   1.034 states/eV/atom
# Raw formation energy   1566.1 meV/atom
# Crystal system   cubic
data_BeOsSe4
_chemical_formula_sum 'Be4 Os4 Se16'
_space_group_name_H-M_alt 'F -4 3 m'
_space_group_IT_number 216
_space_group_name_Hall 'F -4 2 3'
_cell_length_a 7.764
_cell_length_b 7.764
_cell_length_c 7.764
_cell_angle_alpha 90.00
_cell_angle_beta 90.00
_cell_angle_gamma 90.00
loop_
_atom_site_label
_atom_site_fract_x
_atom_site_fract_y
_atom_site_fract_z
_atom_site_occupancy
Be1 0.000 0.000 0.000 1
Os1 0.250 0.250 0.750 1
Se1 0.125 0.125 0.375 1

# 5
# BeOsSe2, relaxed, DFT PBE
# Total magnetization   0.0 μB per cell
# Fermi-level density of states   0.288 states/eV/atom
# Raw formation energy   308.7 meV/atom
# Crystal system   monoclinic
data_BeOsSe2
_chemical_formula_sum 'Be2 Os2 Se4'
_space_group_name_H-M_alt 'C 1 2/m 1'
_space_group_IT_number 12
_cell_length_a 7.288
_cell_length_b 3.182
_cell_length_c 6.285
_cell_angle_alpha 90.00
_cell_angle_beta 114.56
_cell_angle_gamma 90.00
loop_
_space_group_symop_operation_xyz
'x,y,z'
'-x,-y,-z'
'-x,y,-z'
'x,-y,z'
'x+1/2,y+1/2,z'
'-x+1/2,-y+1/2,-z'
'-x+1/2,y+1/2,-z'
'x+1/2,-y+1/2,z'
loop_
_atom_site_label
_atom_site_fract_x
_atom_site_fract_y
_atom_site_fract_z
_atom_site_occupancy
Be1 0.000 0.000 0.000 1
Os1 0.000 0.500 0.500 1
Se1 0.202 0.500 0.257 1

# 6
# Be2OsSe, relaxed, DFT PBE
# Total magnetization   0.0 μB per cell
# Fermi-level density of states   0.495 states/eV/atom
# Raw formation energy   86.0 meV/atom
# Crystal system   orthorhombic
data_Be2OsSe
_chemical_formula_sum 'Be2 Os1 Se1'
_space_group_name_H-M_alt 'P m m m'
_space_group_IT_number 47
_cell_length_a 3.039
_cell_length_b 3.067
_cell_length_c 5.285
_cell_angle_alpha 90.00
_cell_angle_beta 90.00
_cell_angle_gamma 90.00
loop_
_space_group_symop_operation_xyz
'x,y,z'
'-x,-y,-z'
'-x,-y,z'
'x,y,-z'
'x,-y,-z'
'-x,y,z'
'-x,y,-z'
'x,-y,z'
loop_
_atom_site_label
_atom_site_fract_x
_atom_site_fract_y
_atom_site_fract_z
_atom_site_occupancy
Be1 0.000 0.000 0.204 1
Os1 0.500 0.500 0.000 1
Se1 0.500 0.500 0.500 1

# 7
# BeOsSe2, relaxed, DFT PBE
# Total magnetization   0.0 μB per cell
# Fermi-level density of states   0.574 states/eV/atom
# Raw formation energy   378.6 meV/atom
# Crystal system   trigonal
data_BeOsSe2
_chemical_formula_sum 'Be3 Os3 Se6'
_space_group_name_H-M_alt 'R -3 m'
_space_group_IT_number 166
_space_group_name_Hall '-R 3 2"'
_cell_length_a 3.1157
_cell_length_b 3.1157
_cell_length_c 22.9359
_cell_angle_alpha 90.00
_cell_angle_beta 90.00
_cell_angle_gamma 120.00
loop_
_atom_site_label
_atom_site_fract_x
_atom_site_fract_y
_atom_site_fract_z
_atom_site_occupancy
Be1 0.0000 0.0000 0.0000 1
Os1 0.0000 0.0000 0.5000 1
Se1 0.0000 0.0000 0.3964 1

# 8
# BeOs4Se, relaxed, DFT PBE
# Total magnetization   0.0 μB per cell
# Fermi-level density of states   1.490 states/eV/atom
# Raw formation energy   1181.9 meV/atom
# Crystal system   cubic
data_BeOs4Se
_chemical_formula_sum 'Be4 Os16 Se4'
_space_group_name_H-M_alt 'F -4 3 m'
_space_group_IT_number 216
_space_group_name_Hall 'F -4 2 3'
_cell_length_a 7.299
_cell_length_b 7.299
_cell_length_c 7.299
_cell_angle_alpha 90.00
_cell_angle_beta 90.00
_cell_angle_gamma 90.00
loop_
_atom_site_label
_atom_site_fract_x
_atom_site_fract_y
_atom_site_fract_z
_atom_site_occupancy
Be1 0.000 0.000 0.000 1
Os1 0.125 0.125 0.625 1
Se1 0.250 0.250 0.250 1

# 9
# BeOs2Se, relaxed, DFT PBE
# Energy above the most stable polymorph in this dataset   0.0801 eV/atom
# Total magnetization   0.0 μB per cell
# Fermi-level density of states   0.846 states/eV/atom
# Raw formation energy   391.0 meV/atom
# Crystal system   tetragonal
data_BeOs2Se
_chemical_formula_sum 'Be1 Os2 Se1'
_space_group_name_H-M_alt 'P 4/m m m'
_space_group_IT_number 123
_space_group_name_Hall '-P 4 2'
_cell_length_a 2.964
_cell_length_b 2.964
_cell_length_c 5.978
_cell_angle_alpha 90.00
_cell_angle_beta 90.00
_cell_angle_gamma 90.00
loop_
_atom_site_label
_atom_site_fract_x
_atom_site_fract_y
_atom_site_fract_z
_atom_site_occupancy
Be1 0.000 0.000 0.000 1
Os1 0.500 0.500 0.224 1
Se1 0.000 0.000 0.500 1

# 10
# Be2OsSe, relaxed, DFT PBE
# Total magnetization   0.0 μB per cell
# Fermi-level density of states   0.513 states/eV/atom
# Raw formation energy   363.3 meV/atom
# Crystal system   orthorhombic
data_Be2OsSe
_chemical_formula_sum 'Be4 Os2 Se2'
_space_group_name_H-M_alt 'C m m m'
_space_group_IT_number 65
_space_group_name_Hall '-C 2 2'
_cell_length_a 3.079
_cell_length_b 4.657
_cell_length_c 7.375
_cell_angle_alpha 90.00
_cell_angle_beta 90.00
_cell_angle_gamma 90.00
loop_
_atom_site_label
_atom_site_fract_x
_atom_site_fract_y
_atom_site_fract_z
_atom_site_occupancy
Be1 0.000 0.000 0.227 1
Os1 0.000 0.500 0.000 1
Se1 0.000 0.500 0.500 1

# 11
# Be2OsSe, relaxed, DFT PBE
# Total magnetization   0.0 μB per cell
# Fermi-level density of states   0.512 states/eV/atom
# Raw formation energy   267.2 meV/atom
# Crystal system   trigonal
data_Be2OsSe
_chemical_formula_sum 'Be6 Os3 Se3'
_space_group_name_H-M_alt 'R -3 m'
_space_group_IT_number 166
_space_group_name_Hall '-R 3 2"'
_cell_length_a 2.9439
_cell_length_b 2.9439
_cell_length_c 20.4703
_cell_angle_alpha 90.00
_cell_angle_beta 90.00
_cell_angle_gamma 120.00
loop_
_atom_site_label
_atom_site_fract_x
_atom_site_fract_y
_atom_site_fract_z
_atom_site_occupancy
Be1 0.0000 0.0000 0.2488 1
Os1 0.0000 0.0000 0.5000 1
Se1 0.0000 0.0000 0.0000 1

# 12
# BeOs2Se, relaxed, DFT PBE
# Energy above the most stable polymorph in this dataset   0.2209 eV/atom
# Total magnetization   0.0 μB per cell
# Fermi-level density of states   0.732 states/eV/atom
# Raw formation energy   531.7 meV/atom
# Crystal system   monoclinic
data_BeOs2Se
_chemical_formula_sum 'Be1 Os2 Se1'
_space_group_name_H-M_alt 'P 1 2/m 1'
_space_group_IT_number 10
_cell_length_a 2.862
_cell_length_b 3.959
_cell_length_c 5.376
_cell_angle_alpha 90.00
_cell_angle_beta 104.63
_cell_angle_gamma 90.00
loop_
_space_group_symop_operation_xyz
'x,y,z'
'-x,-y,-z'
'-x,y,-z'
'x,-y,z'
loop_
_atom_site_label
_atom_site_fract_x
_atom_site_fract_y
_atom_site_fract_z
_atom_site_occupancy
Be1 0.000 0.000 0.000 1
Os1 0.366 0.500 0.207 1
Se1 0.500 0.000 0.500 1

# 13
# BeOsSe2, relaxed, DFT PBE
# Total magnetization   0.0 μB per cell
# Fermi-level density of states   0.000 states/eV/atom
# Raw formation energy   285.5 meV/atom
# Crystal system   trigonal
data_BeOsSe2
_chemical_formula_sum 'Be3 Os3 Se6'
_space_group_name_H-M_alt 'R -3 m'
_space_group_IT_number 166
_space_group_name_Hall '-R 3 2"'
_cell_length_a 3.9077
_cell_length_b 3.9077
_cell_length_c 19.3589
_cell_angle_alpha 90.00
_cell_angle_beta 90.00
_cell_angle_gamma 120.00
loop_
_atom_site_label
_atom_site_fract_x
_atom_site_fract_y
_atom_site_fract_z
_atom_site_occupancy
Be1 0.0000 0.0000 0.0000 1
Os1 0.0000 0.0000 0.5000 1
Se1 0.0000 0.0000 0.1073 1

# 14
# BeOs2Se, relaxed, DFT PBE
# Energy above the most stable polymorph in this dataset   0.3391 eV/atom
# Total magnetization   0.0 μB per cell
# Fermi-level density of states   0.880 states/eV/atom
# Raw formation energy   649.9 meV/atom
# Crystal system   orthorhombic
data_BeOs2Se
_chemical_formula_sum 'Be2 Os4 Se2'
_space_group_name_H-M_alt 'C m m m'
_space_group_IT_number 65
_space_group_name_Hall '-C 2 2'
_cell_length_a 2.825
_cell_length_b 4.688
_cell_length_c 8.498
_cell_angle_alpha 90.00
_cell_angle_beta 90.00
_cell_angle_gamma 90.00
loop_
_atom_site_label
_atom_site_fract_x
_atom_site_fract_y
_atom_site_fract_z
_atom_site_occupancy
Be1 0.000 0.000 0.000 1
Os1 0.000 0.500 0.216 1
Se1 0.000 0.000 0.500 1

# 15
# BeOs2Se, relaxed, DFT PBE
# Energy above the most stable polymorph in this dataset   0.2338 eV/atom
# Total magnetization   0.0 μB per cell
# Fermi-level density of states   0.600 states/eV/atom
# Raw formation energy   544.6 meV/atom
# Crystal system   orthorhombic
data_BeOs2Se
_chemical_formula_sum 'Be2 Os4 Se2'
_space_group_name_H-M_alt 'I m m m'
_space_group_IT_number 71
_space_group_name_Hall '-I 2 2'
_cell_length_a 2.906
_cell_length_b 4.569
_cell_length_c 8.287
_cell_angle_alpha 90.00
_cell_angle_beta 90.00
_cell_angle_gamma 90.00
loop_
_atom_site_label
_atom_site_fract_x
_atom_site_fract_y
_atom_site_fract_z
_atom_site_occupancy
Be1 0.000 0.000 0.000 1
Os1 0.000 0.500 0.284 1
Se1 0.000 0.000 0.500 1

# 16
# Be2OsSe, relaxed, DFT PBE
# Total magnetization   0.0 μB per cell
# Fermi-level density of states   0.456 states/eV/atom
# Raw formation energy   586.3 meV/atom
# Crystal system   cubic
data_Be2OsSe
_chemical_formula_sum 'Be8 Os4 Se4'
_space_group_name_H-M_alt 'F -4 3 m'
_space_group_IT_number 216
_space_group_name_Hall 'F -4 2 3'
_cell_length_a 5.863
_cell_length_b 5.863
_cell_length_c 5.863
_cell_angle_alpha 90.00
_cell_angle_beta 90.00
_cell_angle_gamma 90.00
loop_
_atom_site_label
_atom_site_fract_x
_atom_site_fract_y
_atom_site_fract_z
_atom_site_occupancy
Be1 0.000 0.000 0.000 1
Be2 0.250 0.250 0.250 1
Os1 0.250 0.250 0.750 1
Se1 0.000 0.000 0.500 1

# 17
# Be2OsSe, relaxed, DFT PBE
# Total magnetization   0.0 μB per cell
# Fermi-level density of states   0.375 states/eV/atom
# Raw formation energy   295.9 meV/atom
# Crystal system   tetragonal
data_Be2OsSe
_chemical_formula_sum 'Be2 Os1 Se1'
_space_group_name_H-M_alt 'P 4/m m m'
_space_group_IT_number 123
_space_group_name_Hall '-P 4 2'
_cell_length_a 4.026
_cell_length_b 4.026
_cell_length_c 3.003
_cell_angle_alpha 90.00
_cell_angle_beta 90.00
_cell_angle_gamma 90.00
loop_
_atom_site_label
_atom_site_fract_x
_atom_site_fract_y
_atom_site_fract_z
_atom_site_occupancy
Be1 0.000 0.500 0.000 1
Os1 0.000 0.000 0.500 1
Se1 0.500 0.500 0.500 1

# 18
# BeOsSe2, relaxed, DFT PBE
# Total magnetization   0.0 μB per cell
# Fermi-level density of states   0.306 states/eV/atom
# Raw formation energy   -18.1 meV/atom
# Crystal system   monoclinic
data_BeOsSe2
_chemical_formula_sum 'Be1 Os1 Se2'
_space_group_name_H-M_alt 'P 1 m 1'
_space_group_IT_number 6
_cell_length_a 3.113
_cell_length_b 3.532
_cell_length_c 7.163
_cell_angle_alpha 90.00
_cell_angle_beta 91.15
_cell_angle_gamma 90.00
loop_
_space_group_symop_operation_xyz
'x,y,z'
'x,-y,z'
loop_
_atom_site_label
_atom_site_fract_x
_atom_site_fract_y
_atom_site_fract_z
_atom_site_occupancy
Be1 0.000 0.000 0.000 1
Os1 0.504 0.500 0.070 1
Se1 0.515 0.000 0.317 1
Se2 0.991 0.500 0.796 1

# 19
# BeOs2Se, relaxed, DFT PBE
# Energy above the most stable polymorph in this dataset   0.0931 eV/atom
# Total magnetization   0.0 μB per cell
# Fermi-level density of states   0.644 states/eV/atom
# Raw formation energy   403.9 meV/atom
# Crystal system   monoclinic
data_BeOs2Se
_chemical_formula_sum 'Be1 Os2 Se1'
_space_group_name_H-M_alt 'P 1 m 1'
_space_group_IT_number 6
_cell_length_a 2.765
_cell_length_b 3.636
_cell_length_c 5.969
_cell_angle_alpha 90.00
_cell_angle_beta 103.25
_cell_angle_gamma 90.00
loop_
_space_group_symop_operation_xyz
'x,y,z'
'x,-y,z'
loop_
_atom_site_label
_atom_site_fract_x
_atom_site_fract_y
_atom_site_fract_z
_atom_site_occupancy
Be1 0.000 0.000 0.000 1
Os1 0.191 0.000 0.389 1
Os2 0.563 0.500 0.128 1
Se1 0.342 0.500 0.686 1

# 20
# BeOsSe2, relaxed, DFT PBE
# Total magnetization   0.0 μB per cell
# Fermi-level density of states   0.509 states/eV/atom
# Raw formation energy   897.3 meV/atom
# Crystal system   orthorhombic
data_BeOsSe2
_chemical_formula_sum 'Be1 Os1 Se2'
_space_group_name_H-M_alt 'P m m m'
_space_group_IT_number 47
_cell_length_a 3.190
_cell_length_b 4.387
_cell_length_c 4.406
_cell_angle_alpha 90.00
_cell_angle_beta 90.00
_cell_angle_gamma 90.00
loop_
_space_group_symop_operation_xyz
'x,y,z'
'-x,-y,-z'
'-x,-y,z'
'x,y,-z'
'x,-y,-z'
'-x,y,z'
'-x,y,-z'
'x,-y,z'
loop_
_atom_site_label
_atom_site_fract_x
_atom_site_fract_y
_atom_site_fract_z
_atom_site_occupancy
Be1 0.000 0.000 0.000 1
Os1 0.500 0.500 0.000 1
Se1 0.000 0.500 0.500 1
Se2 0.500 0.000 0.500 1

Across the entries above, energy takes the values -43.17; -37.35; -76.92; -77.99; -41.38; -21.82; -61.23; -180.15; -28.11; -41.43; -63.29; -27.54; -62.35; -54.14; -54.98; -79.29; -20.98; -22.00; -28.05; -18.34 eV/cell, respectively.